# 1
A plane-wave DFT calculation with PBE was carried out for LaPm3Nd5 after structural relaxation.

a = 9.102 Å, b = 9.102 Å, c = 12.115 Å
α = 119.32°, β = 119.32°, γ = 55.75°
Positions (direct):
La (0.105, 0.105, 0.313)
La (0.895, 0.895, 0.687)
Pm (0.000, 0.000, 0.000)
Pm (0.000, 0.000, 0.500)
Pm (0.222, 0.222, 0.141)
Pm (0.313, 0.313, 0.672)
Pm (0.687, 0.687, 0.328)
Pm (0.778, 0.778, 0.859)
Nd (0.167, 0.551, 0.439)
Nd (0.202, 0.202, 0.850)
Nd (0.324, 0.676, 0.000)
Nd (0.449, 0.833, 0.561)
Nd (0.454, 0.454, 0.245)
Nd (0.546, 0.546, 0.755)
Nd (0.551, 0.167, 0.439)
Nd (0.676, 0.324, 0.000)
Nd (0.798, 0.798, 0.150)
Nd (0.833, 0.449, 0.561)

Results
Formation energy from the elements ... 401 meV/atom
Density of states at the Fermi level ... 28.26 states/eV per cell
VASP energy ... -78.82 eV for the cell shown
Crystal system ... monoclinic


# 2
A plane-wave DFT calculation with PBE was carried out for LaPm2Nd9 after structural relaxation.

a = 5.206 Å, b = 5.206 Å, c = 15.628 Å
α = 90.00°, β = 90.00°, γ = 90.00°
Positions (direct):
La (0.000, 0.000, 0.000)
Pm (0.000, 0.000, 0.334)
Pm (0.000, 0.000, 0.666)
Nd (0.000, 0.500, 0.168)
Nd (0.000, 0.500, 0.500)
Nd (0.000, 0.500, 0.832)
Nd (0.500, 0.000, 0.168)
Nd (0.500, 0.000, 0.500)
Nd (0.500, 0.000, 0.832)
Nd (0.500, 0.500, 0.000)
Nd (0.500, 0.500, 0.334)
Nd (0.500, 0.500, 0.666)

Results
Formation energy from the elements ... 13 meV/atom
Density of states at the Fermi level ... 20.26 states/eV per cell
VASP energy ... -57.18 eV for the cell shown
Crystal system ... tetragonal


# 3
A plane-wave DFT calculation with PBE was carried out for LaPm7Nd3 after structural relaxation.

a = 8.636 Å, b = 8.636 Å, c = 8.636 Å
α = 139.27°, β = 97.20°, γ = 96.71°
Positions (direct):
La (0.000, 0.000, 0.000)
Pm (0.000, 0.500, 0.500)
Pm (0.097, 0.302, 0.795)
Pm (0.293, 0.000, 0.293)
Pm (0.493, 0.698, 0.795)
Pm (0.507, 0.302, 0.205)
Pm (0.707, 0.000, 0.707)
Pm (0.903, 0.698, 0.205)
Nd (0.292, 0.792, 0.500)
Nd (0.500, 0.500, 0.000)
Nd (0.708, 0.208, 0.500)

Results
Formation energy from the elements ... 212 meV/atom
Density of states at the Fermi level ... 16.38 states/eV per cell
VASP energy ... -50.15 eV for the cell shown
Crystal system ... orthorhombic


# 4
A plane-wave DFT calculation with PBE was carried out for La5Pm2Nd6 after structural relaxation.

a = 12.010 Å, b = 21.186 Å, c = 3.700 Å
α = 90.00°, β = 90.00°, γ = 90.00°
Positions (direct):
La (0.000, 0.000, 0.000)
La (0.081, 0.274, 0.000)
La (0.200, 0.550, 0.000)
La (0.300, 0.050, 0.000)
La (0.419, 0.774, 0.000)
La (0.500, 0.500, 0.000)
La (0.581, 0.226, 0.000)
La (0.700, 0.950, 0.000)
La (0.800, 0.450, 0.000)
La (0.919, 0.726, 0.000)
Pm (0.174, 0.712, 0.500)
Pm (0.326, 0.212, 0.500)
Pm (0.674, 0.788, 0.500)
Pm (0.826, 0.288, 0.500)
Nd (0.059, 0.420, 0.500)
Nd (0.081, 0.132, 0.500)
Nd (0.178, 0.864, 0.000)
Nd (0.322, 0.364, 0.000)
Nd (0.419, 0.632, 0.500)
Nd (0.441, 0.920, 0.500)
Nd (0.559, 0.080, 0.500)
Nd (0.581, 0.368, 0.500)
Nd (0.678, 0.636, 0.000)
Nd (0.822, 0.136, 0.000)
Nd (0.919, 0.868, 0.500)
Nd (0.941, 0.580, 0.500)

Results
Formation energy from the elements ... 79 meV/atom
Density of states at the Fermi level ... 34.58 states/eV per cell
VASP energy ... -123.43 eV for the cell shown
Crystal system ... orthorhombic